A plane-wave DFT calculation with PBE was carried out for RbNaPb2F8 after structural relaxation.

Lattice parameters (Å, degrees): 4.0377 6.0950 8.0162 90.00 90.00 89.89
Closest atoms and distances in Å follow each position.
Positions (direct):
F: 0.9996 0.7135 0.2319  2 Pb 2.40, 1 Na 2.55, 1 F 2.60
F: 0.0004 0.2865 0.7681  2 Pb 2.40, 1 Na 2.55, 1 F 2.60
F: 0.4991 0.2983 0.5000  2 Pb 2.40, 1 F 2.46
F: 0.0004 0.2864 0.2319  2 Pb 2.40, 1 Na 2.55, 1 F 2.60
F: 0.9996 0.7136 0.7681  2 Pb 2.40, 1 Na 2.55, 1 F 2.60
F: 0.5009 0.7017 0.5000  2 Pb 2.40, 1 F 2.46
F: 0.5005 0.2738 0.0000  2 Pb 2.38, 2 Na 2.62
F: 0.4995 0.7262 0.0000  2 Pb 2.38, 2 Na 2.62
Na: 0.0000 0.0000 0.0000  8 F 2.55-2.62
Pb: 0.5000 0.5000 0.2427  8 F 2.38-2.40
Pb: 0.5000 0.5000 0.7573  8 F 2.38-2.40
Rb: 0.0000 0.0000 0.5000  8 F 2.72-2.77

## Properties
Its formation energy (no corrections) is -2.2917 eV/atom. The density of states at the Fermi level comes out at 4.3 states/eV/cell.

---

A plane-wave DFT calculation with PBE was carried out for NaRhPbF6 after structural relaxation.

Lattice parameters (Å, degrees): 5.2632 5.2632 10.5683 90.00 90.00 90.00
Closest atoms and distances in Å follow each position.
Positions (direct):
F: 0.8249 0.1751 0.1872  1 Rh 2.02
F: 0.1751 0.8249 0.1872  1 Rh 2.02
F: 0.3249 0.3249 0.6872  1 Rh 2.02
F: 0.7282 0.7282 0.3375  1 Rh 2.02
F: 0.2282 0.7718 0.8375  1 Rh 2.02
F: 0.7718 0.2282 0.8375  1 Rh 2.02
F: 0.6855 0.6855 0.9737  1 Rh 2.03
F: 0.2718 0.2718 0.3375  1 Rh 2.02
F: 0.3145 0.3145 0.9737  1 Rh 2.03
F: 0.8145 0.1855 0.4737  1 Rh 2.03
F: 0.1855 0.8145 0.4737  1 Rh 2.03
F: 0.6751 0.6751 0.6872  1 Rh 2.02
Na: 0.0000 0.0000 0.9995  6 F 2.36-2.41
Na: 0.5000 0.5000 0.4995  6 F 2.36-2.41
Pb: 0.0000 0.0000 0.6704  6 F 2.42-2.50
Pb: 0.5000 0.5000 0.1704  6 F 2.42-2.50
Rh: 0.0000 0.0000 0.3335  6 F 2.02-2.03
Rh: 0.5000 0.5000 0.8335  6 F 2.02-2.03

## Properties
Its formation energy (no corrections) is -2.1152 eV/atom.

---

A plane-wave DFT calculation with PBE was carried out for NaRuPbF6 after structural relaxation.

Lattice parameters (Å, degrees): 6.0419 6.0419 8.9557 90.00 90.00 120.00
Closest atoms and distances in Å follow each position.
Positions (direct):
Na: 0.0000 0.0000 0.5000  6 F 2.42
Na: 0.0000 0.0000 0.0000  6 F 2.42
F: 0.6214 0.6768 0.6268  1 Ru 2.04
F: 0.0553 0.6768 0.8732  1 Ru 2.04
F: 0.0553 0.3786 0.6268  1 Ru 2.04
F: 0.6768 0.0553 0.3732  1 Ru 2.04
F: 0.3786 0.0553 0.1268  1 Ru 2.04
F: 0.3786 0.3232 0.3732  1 Ru 2.04
F: 0.3232 0.9447 0.6268  1 Ru 2.04
F: 0.6768 0.6214 0.1268  1 Ru 2.04
F: 0.6214 0.9447 0.8732  1 Ru 2.04
F: 0.9447 0.3232 0.1268  1 Ru 2.04
F: 0.9447 0.6214 0.3732  1 Ru 2.04
F: 0.3232 0.3786 0.8732  1 Ru 2.04
Ru: 0.6667 0.3333 0.2500  6 F 2.04
Ru: 0.3333 0.6667 0.7500  6 F 2.04
Pb: 0.3333 0.6667 0.2500  6 F 2.48
Pb: 0.6667 0.3333 0.7500  6 F 2.48

## Properties
Its formation energy (no corrections) is -2.0790 eV/atom. The density of states at the Fermi level comes out at 21.0 states/eV/cell.